Record 1
The following is a DFT calculation (PBE-GGA) of a geometry-optimized BaRe2Hg structure.

Results
Density in g/cm3: 13.6
Final energy in Ry per atom: -0.3821
Spin magnetization in μB/f.u.: 0.00
Energy of formation in meV/atom: 1581

a = 5.9575 Å, b = 5.9575 Å, c = 2.8015 Å
α = 90.00°, β = 90.00°, γ = 119.38°
Last column: nearest neighbours and their distance in Å.
Element x y z (fractional)
Re1 0.0000 0.0000 0.0000  4 Re 2.80-3.01
Re2 0.5000 0.5000 0.0000  4 Re 2.80-3.01
Ba1 0.5000 0.0000 0.5000  2 Ba 2.80, 2 Hg 3.01
Hg1 0.0000 0.5000 0.5000  2 Hg 2.80, 2 Ba 3.01


Record 2
The following is a DFT calculation (PBE-GGA) of a geometry-optimized Re2NiRh structure.

Results
Density in g/cm3: 16.0
Final energy in Ry per atom: -0.6957
Spin magnetization in μB/f.u.: 0.00
Energy of formation in meV/atom: 41

a = 5.9055 Å, b = 4.7253 Å, c = 2.6724 Å
α = 89.91°, β = 63.26°, γ = 119.85°
Last column: nearest neighbours and their distance in Å.
Element x y z (fractional)
Re1 0.5000 0.0000 0.5000  4 Re 2.64-2.67, 4 Rh 2.71-2.72, 4 Ni 2.71-2.72
Re2 0.0000 0.0000 0.0000  4 Re 2.64-2.67, 4 Ni 2.71-2.72, 4 Rh 2.71-2.72
Ni1 0.5000 0.5000 0.0000  2 Rh 2.64, 2 Ni 2.67, 8 Re 2.71-2.72
Rh1 0.0000 0.5000 0.5000  2 Ni 2.64, 2 Rh 2.67, 8 Re 2.71-2.72


Record 3
The following is a DFT calculation (PBE-GGA) of a geometry-optimized SrLa2Mg2 structure.

Results
Density in g/cm3: 4.0
Final energy in Ry per atom: -0.2129
Spin magnetization in μB/f.u.: 0.00
Energy of formation in meV/atom: 49

a = 3.8435 Å, b = 3.8976 Å, c = 11.6117 Å
α = 80.34°, β = 90.00°, γ = 90.00°
Last column: nearest neighbours and their distance in Å.
Element x y z (fractional)
Mg1 0.5000 0.4015 0.1970  4 La 3.44, 4 Sr 3.55, 2 Mg 3.84
Mg2 0.5000 0.5985 0.8030  4 La 3.44, 4 Sr 3.55, 2 Mg 3.84
La1 0.0000 0.1897 0.6206  2 La 3.38, 4 Mg 3.44
La2 0.0000 0.8103 0.3794  2 La 3.38, 4 Mg 3.44
Sr1 0.0000 0.0000 0.0000  8 Mg 3.55, 4 Sr 3.84-3.90